Run i
Computed, not measured: an optimized crystal structure of TaInSe at the GGA-PBEsol level of DFT.

Cell lengths 4.558, 4.558, 4.558 Å; angles 60.00, 60.00, 60.00 degrees
Sites, in units of the cell vectors:
Se 0.500 0.500 0.500
Ta 0.250 0.250 0.250
In 0.000 0.000 0.000

Crystal system = cubic
Volume = 67 Å³/f.u.
N(E_F) = 2.8 states/eV per cell


Run ii
Computed, not measured: an optimized crystal structure of TaInSe at the GGA-PBEsol level of DFT.

Cell lengths 3.252, 3.252, 6.534 Å; angles 90.00, 90.00, 120.00 degrees
Sites, in units of the cell vectors:
Se 0.333 0.667 0.624
In 0.000 0.000 0.015
Ta 0.667 0.333 0.361

Crystal system = trigonal
Volume = 60 Å³/f.u.
N(E_F) = 0.8 states/eV per cell


Computed stability ranking, most favorable first: run ii, run i